Entry 1:
First-principles (PBE-GGA) data for a relaxed LiTl6Hg12 crystal, as listed in the Alexandria database.

Computed properties:
E	-1.066	eV/atom

Lattice parameters (Å, degrees): 14.1243 14.1243 9.7011 90.00 90.00 120.00
Space group R-3 (No. 148, hexagonal axes)
One atom of each set of equivalent atoms:
Li  0.0000  0.0000  0.0000 (multiplicity 3)
Tl  0.0008  0.7925  0.7503 (multiplicity 18)
Hg  0.0056  0.2004  0.5834 (multiplicity 18)
Hg  0.0067  0.8016  0.0884 (multiplicity 18)

=====

Entry 2:
First-principles (PBE-GGA) data for a relaxed PrY2SbO8 crystal, as listed in the Alexandria database.

Computed properties:
uncorrected formation energy	-2426	meV/atom

Lattice parameters (Å, degrees): 4.181 7.416 5.262 90.00 93.82 90.00
Space group P2/m (No. 10)
One atom of each set of equivalent atoms:
Pr  0.000  0.000  0.000 (multiplicity 1)
Y  0.500  0.258  0.500 (multiplicity 2)
Sb  0.000  0.500  0.000 (multiplicity 1)
O  0.055  0.289  0.755 (multiplicity 4)
O  0.419  0.500  0.213 (multiplicity 2)
O  0.494  0.000  0.259 (multiplicity 2)

=====

Entry 3:
First-principles (PBE-GGA) data for a relaxed PaB crystal, as listed in the Alexandria database.

Computed properties:
relative energy among the computed polymorphs	0	meV/atom

Lattice parameters (Å, degrees): 3.873 3.206 5.121 90.00 105.21 90.00
Space group P2_1/m (No. 11)
One atom of each set of equivalent atoms:
Pa  0.111  0.250  0.294 (multiplicity 2)
B  0.473  0.250  0.916 (multiplicity 2)

=====

Entry 4:
First-principles (PBE-GGA) data for a relaxed ScRh3 crystal, as listed in the Alexandria database.

Computed properties:
E	-7.453	eV/atom

Lattice parameters (Å, degrees): 3.319 3.319 5.682 90.00 90.00 90.00
Space group P4/mmm (No. 123)
One atom of each set of equivalent atoms:
Sc  0.000  0.000  0.000 (multiplicity 1)
Rh  0.000  0.000  0.500 (multiplicity 1)
Rh  0.500  0.500  0.262 (multiplicity 2)

=====

Entry 5:
First-principles (PBE-GGA) data for a relaxed LiBeW2 crystal, as listed in the Alexandria database.

Computed properties:
E	-7.446	eV/atom

Lattice parameters (Å, degrees): 3.249 4.084 8.316 90.00 90.00 90.00
Space group Immm (No. 71)
One atom of each set of equivalent atoms:
Li  0.000  0.000  0.000 (multiplicity 2)
Be  0.000  0.000  0.500 (multiplicity 2)
W  0.000  0.500  0.228 (multiplicity 4)

=====

Entry 6:
First-principles (PBE-GGA) data for a relaxed Na2LiB5P2O14 crystal, as listed in the Alexandria database.

Computed properties:
uncorrected formation energy	-2374	meV/atom

Lattice parameters (Å, degrees): 8.338 9.303 8.462 90.00 115.81 90.00
Space group P2_1/m (No. 11)
One atom of each set of equivalent atoms:
Na  0.103  0.250  0.035 (multiplicity 2)
Na  0.336  0.250  0.459 (multiplicity 2)
Li  0.485  0.750  0.784 (multiplicity 2)
B  0.087  0.750  0.617 (multiplicity 2)
B  0.111  0.250  0.696 (multiplicity 2)
B  0.217  0.750  0.401 (multiplicity 2)
B  0.237  0.750  0.955 (multiplicity 2)
B  0.449  0.250  0.846 (multiplicity 2)
P  0.345  0.558  0.226 (multiplicity 4)
O  0.034  0.750  0.268 (multiplicity 2)
O  0.086  0.250  0.522 (multiplicity 2)
O  0.095  0.750  0.780 (multiplicity 2)
O  0.202  0.619  0.047 (multiplicity 4)
O  0.233  0.750  0.581 (multiplicity 2)
O  0.273  0.250  0.837 (multiplicity 2)
O  0.310  0.618  0.382 (multiplicity 4)
O  0.343  0.103  0.232 (multiplicity 4)
O  0.416  0.750  0.975 (multiplicity 2)
O  0.469  0.119  0.747 (multiplicity 4)

=====

Entry 7:
First-principles (PBE-GGA) data for a relaxed PBr crystal, as listed in the Alexandria database.

Computed properties:
relative energy among the computed polymorphs	968	meV/atom
uncorrected formation energy	838	meV/atom

Lattice parameters (Å, degrees): 3.355 6.043 4.269 90.00 90.00 90.00
Space group Cmmm (No. 65)
One atom of each set of equivalent atoms:
P  0.000  0.000  0.000 (multiplicity 2)
Br  0.000  0.500  0.500 (multiplicity 2)

=====

Entry 8:
First-principles (PBE-GGA) data for a relaxed La3Nd6Dy2Tl crystal, as listed in the Alexandria database.

Computed properties:
E	-4.590	eV/atom

Lattice parameters (Å, degrees): 6.294 10.956 11.967 90.00 100.50 90.00
Space group C2/m (No. 12)
One atom of each set of equivalent atoms:
La  0.000  0.000  0.000 (multiplicity 2)
La  0.000  0.329  0.000 (multiplicity 4)
Nd  0.242  0.337  0.742 (multiplicity 8)
Nd  0.246  0.500  0.256 (multiplicity 4)
Dy  0.000  0.166  0.500 (multiplicity 4)
Tl  0.000  0.500  0.500 (multiplicity 2)

=====

Entry 9:
First-principles (PBE-GGA) data for a relaxed Pu3Zn2Pt7 crystal, as listed in the Alexandria database.

Computed properties:
E	-8.058	eV/atom

Lattice parameters (Å, degrees): 5.5009 5.5009 25.4984 90.00 90.00 120.00
Space group R-3m (No. 166, hexagonal axes)
One atom of each set of equivalent atoms:
Pu  0.0000  0.0000  0.0000 (multiplicity 3)
Pu  0.0000  0.0000  0.1408 (multiplicity 6)
Zn  0.0000  0.0000  0.3337 (multiplicity 6)
Pt  0.0000  0.0000  0.5000 (multiplicity 3)
Pt  0.0033  0.5016  0.9192 (multiplicity 18)

=====

Entry 10:
First-principles (PBE-GGA) data for a relaxed BaCrSi crystal, as listed in the Alexandria database.

Computed properties:
uncorrected formation energy	501	meV/atom

Lattice parameters (Å, degrees): 7.159 7.159 7.159 90.00 90.00 90.00
Space group F-43m (No. 216)
One atom of each set of equivalent atoms:
Ba  0.000  0.000  0.000 (multiplicity 4)
Cr  0.000  0.000  0.500 (multiplicity 4)
Si  0.250  0.250  0.750 (multiplicity 4)

=====

Entry 11:
First-principles (PBE-GGA) data for a relaxed LuPuMgPb crystal, as listed in the Alexandria database.

Computed properties:
E	-6.124	eV/atom

Lattice parameters (Å, degrees): 7.560 7.560 7.560 90.00 90.00 90.00
Space group F-43m (No. 216)
One atom of each set of equivalent atoms:
Lu  0.000  0.000  0.000 (multiplicity 4)
Pu  0.000  0.000  0.500 (multiplicity 4)
Mg  0.250  0.250  0.750 (multiplicity 4)
Pb  0.250  0.250  0.250 (multiplicity 4)

=====

Entry 12:
First-principles (PBE-GGA) data for a relaxed Er3AsO6 crystal, as listed in the Alexandria database.

Computed properties:
uncorrected formation energy	-2980	meV/atom

Lattice parameters (Å, degrees): 8.758 11.003 5.816 90.00 90.00 90.00
Space group Cmc2_1 (No. 36)
One atom of each set of equivalent atoms:
Er  0.000  0.097  0.000 (multiplicity 4)
Er  0.195  0.392  0.962 (multiplicity 8)
As  0.000  0.324  0.414 (multiplicity 4)
O  0.000  0.278  0.868 (multiplicity 4)
O  0.000  0.464  0.227 (multiplicity 4)
O  0.156  0.244  0.273 (multiplicity 8)
O  0.163  0.014  0.734 (multiplicity 8)

=====

Entry 13:
First-principles (PBE-GGA) data for a relaxed CePa2Rh9 crystal, as listed in the Alexandria database.

Computed properties:
E	-8.397	eV/atom

Lattice parameters (Å, degrees): 4.060 4.060 12.192 90.00 90.00 90.00
Space group P4/mmm (No. 123)
One atom of each set of equivalent atoms:
Ce  0.000  0.000  0.000 (multiplicity 1)
Pa  0.000  0.000  0.333 (multiplicity 2)
Rh  0.000  0.500  0.170 (multiplicity 4)
Rh  0.000  0.500  0.500 (multiplicity 2)
Rh  0.500  0.500  0.000 (multiplicity 1)
Rh  0.500  0.500  0.335 (multiplicity 2)

=====

Entry 14:
First-principles (PBE-GGA) data for a relaxed Al2CrRu crystal, as listed in the Alexandria database.

Computed properties:
E	-6.955	eV/atom

Lattice parameters (Å, degrees): 3.106 4.218 4.218 90.00 90.00 90.00
Space group Pmm2 (No. 25)
One atom of each set of equivalent atoms:
Al  0.000  0.000  0.000 (multiplicity 1)
Al  0.000  0.500  0.498 (multiplicity 1)
Cr  0.500  0.500  0.998 (multiplicity 1)
Ru  0.500  0.000  0.500 (multiplicity 1)

=====

Entry 15:
First-principles (PBE-GGA) data for a relaxed Pr4Ge2S crystal, as listed in the Alexandria database.

Computed properties:
uncorrected formation energy	-1061	meV/atom

Lattice parameters (Å, degrees): 9.057 9.057 9.185 90.00 90.00 90.00
Space group I-42d (No. 122)
One atom of each set of equivalent atoms:
Pr  0.069  0.691  0.441 (multiplicity 16)
Ge  0.122  0.750  0.125 (multiplicity 8)
S  0.000  0.000  0.500 (multiplicity 4)

=====

Entry 16:
First-principles (PBE-GGA) data for a relaxed Pu2CrGa crystal, as listed in the Alexandria database.

Computed properties:
relative energy among the computed polymorphs	74	meV/atom

Lattice parameters (Å, degrees): 3.766 3.766 5.763 90.00 90.00 90.00
Space group P4/mmm (No. 123)
One atom of each set of equivalent atoms:
Pu  0.000  0.000  0.248 (multiplicity 2)
Cr  0.500  0.500  0.500 (multiplicity 1)
Ga  0.500  0.500  0.000 (multiplicity 1)

=====

Entry 17:
First-principles (PBE-GGA) data for a relaxed Ta2FeIr crystal, as listed in the Alexandria database.

Computed properties:
E	-10.511	eV/atom

Lattice parameters (Å, degrees): 5.863 7.247 2.911 90.00 90.00 90.00
Space group Cmmm (No. 65)
One atom of each set of equivalent atoms:
Ta  0.250  0.250  0.000 (multiplicity 4)
Fe  0.000  0.000  0.500 (multiplicity 2)
Ir  0.000  0.500  0.500 (multiplicity 2)

=====

Entry 18:
First-principles (PBE-GGA) data for a relaxed Th2InRh crystal, as listed in the Alexandria database.

Computed properties:
relative energy among the computed polymorphs	393	meV/atom

Lattice parameters (Å, degrees): 3.9177 3.9177 30.1781 90.00 90.00 120.00
Space group R-3m (No. 166, hexagonal axes)
One atom of each set of equivalent atoms:
Th  0.0000  0.0000  0.1107 (multiplicity 6)
In  0.0000  0.0000  0.0000 (multiplicity 3)
Rh  0.0000  0.0000  0.5000 (multiplicity 3)

=====

Entry 19:
First-principles (PBE-GGA) data for a relaxed Ca2NbCr crystal, as listed in the Alexandria database.

Computed properties:
relative energy among the computed polymorphs	24	meV/atom

Lattice parameters (Å, degrees): 8.334 8.334 5.439 90.00 90.00 90.00
Space group I-42d (No. 122)
One atom of each set of equivalent atoms:
Ca  0.214  0.750  0.125 (multiplicity 8)
Nb  0.000  0.000  0.500 (multiplicity 4)
Cr  0.000  0.000  0.000 (multiplicity 4)

=====

Entry 20:
First-principles (PBE-GGA) data for a relaxed TiAl2HPd crystal, as listed in the Alexandria database.

Computed properties:
E	-5.209	eV/atom

Lattice parameters (Å, degrees): 4.097 4.097 3.753 90.00 90.00 90.00
Space group P4/mmm (No. 123)
One atom of each set of equivalent atoms:
Ti  0.000  0.000  0.000 (multiplicity 1)
Al  0.000  0.500  0.500 (multiplicity 2)
H  0.000  0.000  0.500 (multiplicity 1)
Pd  0.500  0.500  0.000 (multiplicity 1)